DFT (PBE) results for Pr3Dy3NiTe2 after structural relaxation.

Calculated values
For the density, the calculation gives 7940 kg/m³. The value obtained for the distance to the lowest polymorph of the same formula is 0 kJ/mol of formula units. The value obtained for the total magnetic moment is 0.0 μB per formula unit.

Lattice parameters (Å, degrees): 8.5456 8.5456 4.0481 90.00 90.00 120.00
Space group P-62m (No. 189)
One atom of each set of equivalent atoms:
Pr 0.0000 0.5942 0.0000 [3 per cell]
Dy 0.0000 0.2350 0.5000 [3 per cell]
Ni 0.0000 0.0000 0.0000 [1 per cell]
Te 0.3333 0.6667 0.5000 [2 per cell]

***

DFT (PBE) results for Pr3Dy3NiTe2 after structural relaxation.

Calculated values
For the density, the calculation gives 8032 kg/m³. The value obtained for the distance to the lowest polymorph of the same formula is 87 kJ/mol of formula units. The value obtained for the total magnetic moment is 0.0 μB per formula unit.

Lattice parameters (Å, degrees): 8.6577 8.6577 3.8984 90.00 90.00 120.00
Space group P-62m (No. 189)
One atom of each set of equivalent atoms:
Pr 0.0000 0.2444 0.0000 [3 per cell]
Dy 0.0000 0.5897 0.5000 [3 per cell]
Ni 0.0000 0.0000 0.5000 [1 per cell]
Te 0.3333 0.6667 0.0000 [2 per cell]

***

DFT (PBE) results for PrDyTlNi2 after structural relaxation.

Calculated values
The calculation puts the energy at -5.002 eV/atom. For the density, the calculation gives 9478 kg/m³. The value obtained for the total magnetic moment is 0.0 μB per formula unit.

Lattice parameters (Å, degrees): 3.750 3.976 14.693 90.00 90.00 90.00
Space group Amm2 (No. 38)
One atom of each set of equivalent atoms:
Pr 0.000 0.000 0.000 [2 per cell]
Dy 0.000 0.000 0.723 [2 per cell]
Tl 0.500 0.000 0.358 [2 per cell]
Ni 0.500 0.000 0.165 [2 per cell]
Ni 0.500 0.000 0.570 [2 per cell]

***

DFT (PBE) results for PrDyZnNi2 after structural relaxation.

Calculated values
The calculation puts the energy at -4.755 eV/atom. For the density, the calculation gives 8399 kg/m³. The value obtained for the total magnetic moment is 0.0 μB per formula unit.

Lattice parameters (Å, degrees): 4.285 5.422 8.275 90.00 90.00 90.00
Space group Imm2 (No. 44)
One atom of each set of equivalent atoms:
Pr 0.000 0.000 0.000 [2 per cell]
Dy 0.000 0.000 0.595 [2 per cell]
Zn 0.000 0.500 0.797 [2 per cell]
Ni 0.000 0.268 0.297 [4 per cell]

***

DFT (PBE) results for Dy4Ni3Pt after structural relaxation.

Calculated values
The calculation puts the energy at -5.812 eV/atom. For the density, the calculation gives 10337 kg/m³. The value obtained for the total magnetic moment is 0.0 μB per formula unit.

Lattice parameters (Å, degrees): 5.502 4.185 7.125 90.00 90.03 90.00
Space group Pm (No. 6)
One atom of each set of equivalent atoms:
Dy 0.000 0.000 0.000 [1 per cell]
Dy 0.236 0.000 0.497 [1 per cell]
Dy 0.500 0.500 0.144 [1 per cell]
Dy 0.740 0.500 0.636 [1 per cell]
Ni 0.226 0.500 0.774 [1 per cell]
Ni 0.747 0.000 0.354 [1 per cell]
Ni 0.992 0.500 0.281 [1 per cell]
Pt 0.502 0.000 0.859 [1 per cell]

***

DFT (PBE) results for Dy2Si4NiPt after structural relaxation.

Calculated values
The calculation puts the energy at -6.214 eV/atom. For the density, the calculation gives 8340 kg/m³. The value obtained for the total magnetic moment is 0.0 μB per formula unit.

Lattice parameters (Å, degrees): 4.065 4.043 16.746 90.00 90.00 90.00
Space group Amm2 (No. 38)
One atom of each set of equivalent atoms:
Dy 0.000 0.000 0.000 [2 per cell]
Dy 0.500 0.000 0.205 [2 per cell]
Si 0.000 0.000 0.362 [2 per cell]
Si 0.000 0.000 0.639 [2 per cell]
Si 0.500 0.000 0.565 [2 per cell]
Si 0.500 0.000 0.861 [2 per cell]
Ni 0.500 0.000 0.430 [2 per cell]
Pt 0.000 0.000 0.781 [2 per cell]